First-principles (PBE) data for crystalline TbSmTm5Sc2 at its relaxed geometry, as listed in Alexandria.

Unit cell a=10.951 b=10.951 c=9.276 alpha=90.00 beta=90.00 gamma=150.74
Fractional positions:
Tb1 0.188 0.812 0.500
Tb2 0.812 0.188 0.000
Sm1 0.403 0.597 0.898
Sm2 0.597 0.403 0.398
Tm1 0.009 0.991 0.502
Tm2 0.264 0.736 0.818
Tm3 0.308 0.692 0.202
Tm4 0.391 0.609 0.524
Tm5 0.469 0.531 0.229
Tm6 0.531 0.469 0.729
Tm7 0.609 0.391 0.024
Tm8 0.692 0.308 0.702
Tm9 0.736 0.264 0.318
Tm10 0.991 0.009 0.002
Sc1 0.113 0.887 0.805
Sc2 0.141 0.859 0.176
Sc3 0.859 0.141 0.676
Sc4 0.887 0.113 0.305

Summary:
Its calculated volume is 543.7 Å³/cell. As for the formation energy: 0.17 eV/atom.



First-principles (PBE) data for crystalline TbSm2Tm2Sc2 at its relaxed geometry, as listed in Alexandria.

Unit cell a=5.912 b=5.912 c=11.513 alpha=107.79 beta=107.79 gamma=33.58
Fractional positions:
Tb1 0.000 0.000 0.000
Sm1 0.327 0.327 0.411
Sm2 0.673 0.673 0.589
Tm1 0.454 0.454 0.732
Tm2 0.546 0.546 0.268
Sc1 0.228 0.228 0.868
Sc2 0.772 0.772 0.132

Summary:
Its calculated volume is 211.0 Å³/cell. As for the formation energy: 0.11 eV/atom.



First-principles (PBE) data for crystalline TbSm6Tm2Sc3 at its relaxed geometry, as listed in Alexandria.

Unit cell a=6.105 b=6.105 c=11.460 alpha=95.08 beta=95.08 gamma=119.97
Fractional positions:
Tb1 0.000 0.000 0.000
Sm1 0.086 0.420 0.258
Sm2 0.247 0.247 0.742
Sm3 0.420 0.086 0.258
Sm4 0.580 0.914 0.742
Sm5 0.753 0.753 0.258
Sm6 0.914 0.580 0.742
Tm1 0.333 0.667 0.000
Tm2 0.667 0.333 0.000
Sc1 0.167 0.833 0.500
Sc2 0.500 0.500 0.500
Sc3 0.833 0.167 0.500

Summary:
Its calculated volume is 364.2 Å³/cell. As for the formation energy: 0.04 eV/atom.



First-principles (PBE) data for crystalline Tb6Sm2TmSc at its relaxed geometry, as listed in Alexandria.

Unit cell a=8.692 b=8.692 c=9.558 alpha=94.42 beta=94.42 gamma=117.48
Fractional positions:
Tb1 0.009 0.571 0.192
Tb2 0.126 0.749 0.556
Tb3 0.251 0.874 0.944
Tb4 0.293 0.503 0.382
Tb5 0.429 0.991 0.308
Tb6 0.497 0.707 0.118
Tb7 0.503 0.293 0.882
Tb8 0.571 0.009 0.692
Tb9 0.707 0.497 0.618
Tb10 0.749 0.126 0.056
Tb11 0.874 0.251 0.444
Tb12 0.991 0.429 0.808
Sm1 0.198 0.299 0.045
Sm2 0.299 0.198 0.545
Sm3 0.701 0.802 0.455
Sm4 0.802 0.701 0.955
Tm1 0.019 0.981 0.250
Tm2 0.981 0.019 0.750
Sc1 0.411 0.589 0.750
Sc2 0.589 0.411 0.250

Summary:
Its calculated volume is 633.5 Å³/cell. As for the formation energy: 0.12 eV/atom.



First-principles (PBE) data for crystalline Tb5SmTmSc2 at its relaxed geometry, as listed in Alexandria.

Unit cell a=11.095 b=11.095 c=9.340 alpha=90.00 beta=90.00 gamma=150.77
Fractional positions:
Tb1 0.011 0.989 0.500
Tb2 0.266 0.734 0.821
Tb3 0.306 0.694 0.206
Tb4 0.392 0.608 0.536
Tb5 0.468 0.532 0.237
Tb6 0.532 0.468 0.737
Tb7 0.608 0.392 0.036
Tb8 0.694 0.306 0.706
Tb9 0.734 0.266 0.321
Tb10 0.989 0.011 0.000
Sm1 0.184 0.816 0.507
Sm2 0.816 0.184 0.007
Tm1 0.402 0.598 0.909
Tm2 0.598 0.402 0.409
Sc1 0.113 0.887 0.814
Sc2 0.134 0.866 0.191
Sc3 0.866 0.134 0.691
Sc4 0.887 0.113 0.314

Summary:
Its calculated volume is 561.4 Å³/cell. As for the formation energy: 0.17 eV/atom.



First-principles (PBE) data for crystalline Tb6SmTm2Sc3 at its relaxed geometry, as listed in Alexandria.

Unit cell a=6.047 b=6.047 c=11.449 alpha=95.04 beta=95.04 gamma=119.96
Fractional positions:
Tb1 0.086 0.420 0.759
Tb2 0.247 0.247 0.241
Tb3 0.420 0.086 0.759
Tb4 0.580 0.914 0.241
Tb5 0.753 0.753 0.759
Tb6 0.914 0.580 0.241
Sm1 0.000 0.000 0.500
Tm1 0.333 0.667 0.500
Tm2 0.667 0.333 0.500
Sc1 0.167 0.833 0.000
Sc2 0.500 0.500 0.000
Sc3 0.833 0.167 0.000

Summary:
Its calculated volume is 357.0 Å³/cell. As for the formation energy: 0.04 eV/atom.



First-principles (PBE) data for crystalline Tb2SmTmSc2 at its relaxed geometry, as listed in Alexandria.

Unit cell a=6.292 b=17.379 c=3.333 alpha=90.00 beta=90.00 gamma=90.00
Fractional positions:
Tb1 0.226 0.190 0.000
Tb2 0.274 0.690 0.500
Tb3 0.726 0.310 0.500
Tb4 0.774 0.810 0.000
Sm1 0.000 0.500 0.000
Sm2 0.500 0.000 0.500
Tm1 0.000 0.000 0.000
Tm2 0.500 0.500 0.500
Sc1 0.225 0.354 0.500
Sc2 0.275 0.854 0.000
Sc3 0.725 0.146 0.000
Sc4 0.775 0.646 0.500

Summary:
Its calculated volume is 364.4 Å³/cell. As for the formation energy: 0.28 eV/atom.



First-principles (PBE) data for crystalline Tb2Sm6Tm3Sc at its relaxed geometry, as listed in Alexandria.

Unit cell a=6.165 b=6.165 c=11.680 alpha=95.04 beta=95.04 gamma=119.99
Fractional positions:
Tb1 0.167 0.833 0.000
Tb2 0.833 0.167 0.000
Sm1 0.087 0.417 0.751
Sm2 0.252 0.252 0.250
Sm3 0.417 0.087 0.751
Sm4 0.583 0.913 0.249
Sm5 0.748 0.748 0.750
Sm6 0.913 0.583 0.249
Tm1 0.000 0.000 0.500
Tm2 0.334 0.666 0.500
Tm3 0.666 0.334 0.500
Sc1 0.500 0.500 0.000

Summary:
Its calculated volume is 378.5 Å³/cell. As for the formation energy: 0.03 eV/atom.



First-principles (PBE) data for crystalline TbSm2TmSc4 at its relaxed geometry, as listed in Alexandria.

Unit cell a=5.949 b=3.433 c=11.170 alpha=90.00 beta=100.13 gamma=90.00
Fractional positions:
Tb1 0.000 0.000 0.000
Sm1 0.500 0.000 0.500
Sm2 0.500 0.500 0.000
Tm1 0.000 0.500 0.500
Sc1 0.248 0.000 0.749
Sc2 0.250 0.500 0.251
Sc3 0.750 0.500 0.749
Sc4 0.752 0.000 0.251

Summary:
Its calculated volume is 224.6 Å³/cell. As for the formation energy: 0.06 eV/atom.



First-principles (PBE) data for crystalline TbSm2Tm5Sc at its relaxed geometry, as listed in Alexandria.

Unit cell a=9.713 b=9.713 c=9.713 alpha=128.04 beta=128.04 gamma=76.57
Fractional positions:
Tb1 0.250 0.250 0.000
Tb2 0.750 0.750 0.000
Sm1 0.118 0.618 0.737
Sm2 0.382 0.118 0.500
Sm3 0.618 0.882 0.500
Sm4 0.882 0.382 0.263
Tm1 0.000 0.000 0.000
Tm2 0.066 0.152 0.500
Tm3 0.152 0.652 0.086
Tm4 0.348 0.434 0.500
Tm5 0.434 0.934 0.086
Tm6 0.500 0.500 0.000
Tm7 0.566 0.066 0.914
Tm8 0.652 0.566 0.500
Tm9 0.848 0.348 0.914
Tm10 0.934 0.848 0.500
Sc1 0.250 0.750 0.500
Sc2 0.750 0.250 0.500

Summary:
Its calculated volume is 552.3 Å³/cell. As for the formation energy: 0.28 eV/atom.



First-principles (PBE) data for crystalline Tb6Sm3TmSc2 at its relaxed geometry, as listed in Alexandria.

Unit cell a=6.114 b=6.114 c=11.634 alpha=95.02 beta=95.02 gamma=119.98
Fractional positions:
Tb1 0.083 0.419 0.758
Tb2 0.245 0.245 0.241
Tb3 0.419 0.083 0.758
Tb4 0.581 0.917 0.242
Tb5 0.755 0.755 0.759
Tb6 0.917 0.581 0.242
Sm1 0.000 0.000 0.500
Sm2 0.333 0.667 0.500
Sm3 0.667 0.333 0.500
Tm1 0.500 0.500 0.000
Sc1 0.167 0.833 0.000
Sc2 0.833 0.167 0.000

Summary:
Its calculated volume is 370.9 Å³/cell. As for the formation energy: 0.04 eV/atom.



First-principles (PBE) data for crystalline TbSm4Tm2Sc at its relaxed geometry, as listed in Alexandria.

Unit cell a=6.135 b=3.555 c=11.643 alpha=90.00 beta=100.24 gamma=90.00
Fractional positions:
Tb1 0.000 0.000 0.000
Sm1 0.247 0.000 0.744
Sm2 0.250 0.500 0.253
Sm3 0.750 0.500 0.747
Sm4 0.753 0.000 0.256
Tm1 0.500 0.000 0.500
Tm2 0.500 0.500 0.000
Sc1 0.000 0.500 0.500

Summary:
Its calculated volume is 249.9 Å³/cell. As for the formation energy: 0.03 eV/atom.



First-principles (PBE) data for crystalline TbSm6TmSc2 at its relaxed geometry, as listed in Alexandria.

Unit cell a=8.727 b=8.727 c=9.452 alpha=93.88 beta=93.88 gamma=117.58
Fractional positions:
Tb1 0.029 0.971 0.750
Tb2 0.971 0.029 0.250
Sm1 0.011 0.559 0.683
Sm2 0.113 0.762 0.053
Sm3 0.238 0.887 0.447
Sm4 0.298 0.507 0.883
Sm5 0.441 0.989 0.817
Sm6 0.493 0.702 0.617
Sm7 0.507 0.298 0.383
Sm8 0.559 0.011 0.183
Sm9 0.702 0.493 0.117
Sm10 0.762 0.113 0.553
Sm11 0.887 0.238 0.947
Sm12 0.989 0.441 0.317
Tm1 0.409 0.591 0.250
Tm2 0.591 0.409 0.750
Sc1 0.200 0.300 0.549
Sc2 0.300 0.200 0.049
Sc3 0.700 0.800 0.951
Sc4 0.800 0.700 0.451

Summary:
Its calculated volume is 632.6 Å³/cell. As for the formation energy: 0.13 eV/atom.



First-principles (PBE) data for crystalline Tb5Sm2TmSc at its relaxed geometry, as listed in Alexandria.

Unit cell a=10.447 b=10.447 c=10.345 alpha=90.00 beta=90.00 gamma=149.34
Fractional positions:
Tb1 0.016 0.984 0.500
Tb2 0.127 0.873 0.778
Tb3 0.201 0.799 0.461
Tb4 0.226 0.774 0.079
Tb5 0.484 0.516 0.772
Tb6 0.516 0.484 0.272
Tb7 0.774 0.226 0.579
Tb8 0.799 0.201 0.961
Tb9 0.873 0.127 0.278
Tb10 0.984 0.016 0.000
Sm1 0.385 0.615 0.494
Sm2 0.388 0.612 0.070
Sm3 0.612 0.388 0.570
Sm4 0.615 0.385 0.994
Tm1 0.094 0.906 0.217
Tm2 0.906 0.094 0.717
Sc1 0.306 0.694 0.773
Sc2 0.694 0.306 0.273

Summary:
Its calculated volume is 575.9 Å³/cell. As for the formation energy: 0.15 eV/atom.



First-principles (PBE) data for crystalline Tb2SmTm5Sc at its relaxed geometry, as listed in Alexandria.

Unit cell a=10.160 b=10.160 c=10.310 alpha=90.00 beta=90.00 gamma=148.54
Fractional positions:
Tb1 0.111 0.889 0.500
Tb2 0.114 0.886 0.919
Tb3 0.886 0.114 0.419
Tb4 0.889 0.111 0.000
Sm1 0.413 0.587 0.640
Sm2 0.587 0.413 0.140
Tm1 0.018 0.982 0.205
Tm2 0.277 0.723 0.506
Tm3 0.299 0.701 0.891
Tm4 0.378 0.622 0.205
Tm5 0.481 0.519 0.923
Tm6 0.519 0.481 0.423
Tm7 0.622 0.378 0.705
Tm8 0.701 0.299 0.391
Tm9 0.723 0.277 0.006
Tm10 0.982 0.018 0.705
Sc1 0.197 0.803 0.199
Sc2 0.803 0.197 0.699

Summary:
Its calculated volume is 555.4 Å³/cell. As for the formation energy: 0.17 eV/atom.



First-principles (PBE) data for crystalline Tb6SmTm3Sc2 at its relaxed geometry, as listed in Alexandria.

Unit cell a=6.062 b=6.062 c=11.562 alpha=95.00 beta=95.00 gamma=119.95
Fractional positions:
Tb1 0.081 0.417 0.753
Tb2 0.247 0.247 0.247
Tb3 0.417 0.081 0.753
Tb4 0.583 0.919 0.247
Tb5 0.753 0.753 0.753
Tb6 0.919 0.583 0.247
Sm1 0.500 0.500 0.000
Tm1 0.000 0.000 0.500
Tm2 0.333 0.667 0.500
Tm3 0.667 0.333 0.500
Sc1 0.167 0.833 0.000
Sc2 0.833 0.167 0.000

Summary:
Its calculated volume is 362.5 Å³/cell. As for the formation energy: 0.04 eV/atom.



First-principles (PBE) data for crystalline Tb2Sm4TmSc at its relaxed geometry, as listed in Alexandria.

Unit cell a=5.045 b=5.045 c=9.911 alpha=90.00 beta=90.00 gamma=90.00
Fractional positions:
Tb1 0.000 0.000 0.000
Tb2 0.500 0.500 0.500
Sm1 0.000 0.500 0.246
Sm2 0.000 0.500 0.754
Sm3 0.500 0.000 0.246
Sm4 0.500 0.000 0.754
Tm1 0.000 0.000 0.500
Sc1 0.500 0.500 0.000

Summary:
Its calculated volume is 252.3 Å³/cell. As for the formation energy: 0.03 eV/atom.



First-principles (PBE) data for crystalline Tb2Sm5TmSc at its relaxed geometry, as listed in Alexandria.

Unit cell a=11.223 b=11.223 c=10.129 alpha=90.00 beta=90.00 gamma=152.53
Fractional positions:
Tb1 0.116 0.884 0.000
Tb2 0.116 0.884 0.500
Tb3 0.884 0.116 0.000
Tb4 0.884 0.116 0.500
Sm1 0.001 0.999 0.750
Sm2 0.279 0.721 0.563
Sm3 0.279 0.721 0.937
Sm4 0.373 0.627 0.250
Sm5 0.500 0.500 0.000
Sm6 0.500 0.500 0.500
Sm7 0.627 0.373 0.750
Sm8 0.721 0.279 0.063
Sm9 0.721 0.279 0.437
Sm10 0.999 0.001 0.250
Tm1 0.399 0.601 0.750
Tm2 0.601 0.399 0.250
Sc1 0.214 0.786 0.250
Sc2 0.786 0.214 0.750

Summary:
Its calculated volume is 588.5 Å³/cell. As for the formation energy: 0.13 eV/atom.



First-principles (PBE) data for crystalline Tb6Sm3YSc2 at its relaxed geometry, as listed in Alexandria.

Unit cell a=6.124 b=6.124 c=11.667 alpha=95.01 beta=95.01 gamma=119.98
Fractional positions:
Tb1 0.082 0.419 0.757
Tb2 0.244 0.244 0.242
Tb3 0.419 0.082 0.757
Tb4 0.581 0.918 0.243
Tb5 0.756 0.756 0.758
Tb6 0.918 0.581 0.243
Sm1 0.000 0.000 0.500
Sm2 0.333 0.667 0.500
Sm3 0.667 0.333 0.500
Y1 0.500 0.500 0.000
Sc1 0.167 0.833 0.000
Sc2 0.833 0.167 0.000

Summary:
Its calculated volume is 373.2 Å³/cell. As for the formation energy: 0.04 eV/atom.